Below is Li2CrGeO4 after structural relaxation, with properties calculated at the PBE with a Hubbard U level.

## Properties
N(E_F) (states/eV/cell): 1.648
E_tot (eV/atom): -6.23

a = 4.1632 Å, b = 4.1632 Å, c = 5.2710 Å
α = 113.26°, β = 113.26°, γ = 90.00°
Fractional positions:
Li (0.2500, 0.7500, 0.5000)
Li (0.0000, 0.0000, 0.0000)
Cr (0.5000, 0.5000, 0.0000)
Ge (0.7500, 0.2500, 0.5000)
O (0.9810, 0.4810, 0.9620)
O (0.5190, 0.0190, 0.0380)
O (0.7349, 0.7349, 0.4698)
O (0.2651, 0.2651, 0.5302)